Entry from Alexandria via LeMat-Bulk: a geometry-optimized NdSc4Se5 structure (GGA-PBE).

```
NdSc4Se5
1.0
-1.958 2.812 9.937
1.958 -2.812 9.937
1.958 2.812 -9.937
Nd Sc Se
1 4 5
Direct
0.000 0.000 0.000 Nd
0.206 0.206 0.000 Sc
0.402 0.402 0.000 Sc
0.598 0.598 0.000 Sc
0.794 0.794 0.000 Sc
0.111 0.611 0.500 Se
0.303 0.803 0.500 Se
0.500 0.000 0.500 Se
0.697 0.197 0.500 Se
0.889 0.389 0.500 Se
```

The calculation puts the total DFT energy (no corrections) at -63.59 eV per formula unit. The calculation puts the density of states at the Fermi level at 6.8 states/eV/f.u.

=====

Entry from Alexandria via LeMat-Bulk: a geometry-optimized SrTeI2N structure (GGA-PBE).

```
SrTeI2N
1.0
6.443 0.000 0.000
0.000 6.443 0.000
0.000 0.000 6.715
Sr Te I N
1 1 2 1
Direct
0.000 0.000 0.000 Sr
0.000 0.000 0.500 Te
0.000 0.500 0.000 I
0.500 0.000 0.000 I
0.500 0.500 0.500 N
```

The calculation puts the total DFT energy (no corrections) at -13.68 eV per formula unit. The calculation puts the density of states at the Fermi level at 2.9 states/eV/f.u.